Below is an optimized crystal structure of La2CdSb3Ir4, with properties calculated at the PBE-GGA level.

The structure in POSCAR format:
```
La2CdSb3Ir4
1.0
4.389 0.000 0.000
0.000 4.389 0.000
0.000 0.000 11.390
La Cd Sb Ir
2 1 3 4
direct
0.000 0.500 0.245
0.500 0.000 0.755
0.500 0.500 0.000
0.000 0.000 0.000
0.000 0.500 0.632
0.500 0.000 0.368
0.000 0.000 0.500
0.000 0.500 0.856
0.500 0.000 0.144
0.500 0.500 0.500
```

The density of states at the Fermi level comes out at 4.8 states/eV/cell. Its space group is P-4m2 (115). For the uncorrected formation energy, the calculation gives -582 meV/atom.

***

Below is an optimized crystal structure of La2CdSn3Ir4, with properties calculated at the PBE-GGA level.

The structure in POSCAR format:
```
La2CdSn3Ir4
1.0
4.412 0.000 0.000
0.000 4.412 0.000
0.000 0.000 11.410
La Cd Sn Ir
2 1 3 4
direct
0.000 0.500 0.250
0.500 0.000 0.750
0.000 0.000 0.500
0.000 0.500 0.872
0.500 0.000 0.128
0.500 0.500 0.500
0.000 0.000 0.000
0.000 0.500 0.644
0.500 0.000 0.356
0.500 0.500 0.000
```

The density of states at the Fermi level comes out at 6.5 states/eV/cell. Its space group is P-4m2 (115). Its energy of formation is -0.51 eV per atom.